1.
VASP calculation (PBE-GGA) on crystalline CaZnAs2Pd5 at its relaxed geometry.

Lattice parameters (Å, degrees): 4.6748 4.6748 7.5072 90.00 90.00 90.00
Last column: nearest neighbours and their distance in Å.
Fractional coordinates of all 9 atoms:
Ca1 0.0000 0.0000 0.5000  12 Pd 3.01-3.31
Pd1 0.0000 0.5000 0.7516  2 As 2.42
Zn1 0.0000 0.0000 0.0000  8 Pd 2.99
Pd2 0.5000 0.0000 0.7516  2 As 2.42
As1 0.5000 0.5000 0.1632  5 Pd 2.42-2.53, 1 As 2.45
Pd3 0.5000 0.5000 0.5000  2 As 2.53
Pd4 0.5000 0.0000 0.2484  2 As 2.42
Pd5 0.0000 0.5000 0.2484  2 As 2.42
As2 0.5000 0.5000 0.8368  5 Pd 2.42-2.53, 1 As 2.45

SG: No. 123
Fermi-level density of states: 3.928 states/eV/cell
VASP energy: -42.2 eV for the cell shown
Calculated formation energy: -403 meV per atom



2.
VASP calculation (PBE-GGA) on crystalline CaZn2AsPd4 at its relaxed geometry.

Lattice parameters (Å, degrees): 4.5693 4.5693 7.7814 72.93 72.93 60.00
Last column: nearest neighbours and their distance in Å.
Fractional coordinates of all 8 atoms:
Pd1 0.1345 0.1345 0.5964  4 Zn 2.69-2.93, 3 As 2.73, 1 Ca 2.95, 3 Pd 2.99
Zn1 0.7431 0.7431 0.7707  8 Pd 2.69-2.93
Zn2 0.2569 0.2569 0.2293  8 Pd 2.69-2.93
Ca1 0.0000 0.0000 0.0000  8 Pd 2.88-2.95, 6 Zn 3.13
Pd2 0.8655 0.8655 0.4036  4 Zn 2.69-2.93, 3 As 2.73, 1 Ca 2.95, 3 Pd 2.99
Pd3 0.6141 0.6141 0.1578  1 As 2.51, 3 Zn 2.69
As1 0.5000 0.5000 0.5000  8 Pd 2.51-2.73
Pd4 0.3859 0.3859 0.8422  1 As 2.51, 3 Zn 2.69

SG: No. 166
Fermi-level density of states: 1.802 states/eV/cell
VASP energy: -33.8 eV for the cell shown
Calculated formation energy: -483 meV per atom



3.
VASP calculation (PBE-GGA) on crystalline CaPmAs at its relaxed geometry.

Lattice parameters (Å, degrees): 3.7210 3.7210 7.0647 105.27 105.27 90.00
Last column: nearest neighbours and their distance in Å.
Fractional coordinates of all 3 atoms:
Pm1 0.2887 0.2887 0.5774  4 As 3.02, 1 Ca 3.32
As1 0.6755 0.6755 0.3510  4 Pm 3.02, 4 Ca 3.21
Ca1 0.0358 0.0358 0.0717  4 As 3.21, 1 Pm 3.32

SG: No. 107
Fermi-level density of states: 2.059 states/eV/cell
VASP energy: -13.6 eV for the cell shown
Polymorph energy (0 for the lowest one): 0.532 eV/f.u.
Calculated formation energy: -726 meV per atom



4.
VASP calculation (PBE-GGA) on crystalline CaPmAs at its relaxed geometry.

Lattice parameters (Å, degrees): 4.1147 6.9789 6.2410 90.00 90.00 107.15
Last column: nearest neighbours and their distance in Å.
Fractional coordinates of all 6 atoms:
As1 0.8723 0.7446 0.7500  2 Ca 2.96, 4 Pm 3.09
Pm1 0.5000 0.0000 0.5000  4 As 3.09, 2 Pm 3.12
Ca1 0.7871 0.5741 0.2500  2 As 2.96
As2 0.1277 0.2554 0.2500  2 Ca 2.96, 4 Pm 3.09
Pm2 0.5000 0.0000 0.0000  4 As 3.09, 2 Pm 3.12
Ca2 0.2129 0.4259 0.7500  2 As 2.96

SG: No. 63
Fermi-level density of states: 4.329 states/eV/cell
VASP energy: -28.2 eV for the cell shown
Polymorph energy (0 for the lowest one): 0.000 eV/f.u.
Calculated formation energy: -904 meV per atom



5.
VASP calculation (PBE-GGA) on crystalline CaPm3As4 at its relaxed geometry.

Lattice parameters (Å, degrees): 5.9935 5.9935 5.9935 90.00 90.00 90.00
Last column: nearest neighbours and their distance in Å.
Fractional coordinates of all 8 atoms:
Pm1 0.5000 0.5000 0.0000  6 As 3.00
Pm2 0.0000 0.5000 0.5000  6 As 3.00
As1 0.0000 0.0000 0.5000  2 Ca 3.00, 4 Pm 3.00
As2 0.5000 0.0000 0.0000  2 Ca 3.00, 4 Pm 3.00
As3 0.0000 0.5000 0.0000  2 Ca 3.00, 4 Pm 3.00
Pm3 0.5000 0.0000 0.5000  6 As 3.00
As4 0.5000 0.5000 0.5000  6 Pm 3.00
Ca1 0.0000 0.0000 0.0000  6 As 3.00

SG: No. 221
Fermi-level density of states: 3.626 states/eV/cell
VASP energy: -45.7 eV for the cell shown
Calculated formation energy: -1355 meV per atom



6.
VASP calculation (PBE-GGA) on crystalline Ca3PmAs3 at its relaxed geometry.

Lattice parameters (Å, degrees): 8.9956 8.9956 8.9956 90.00 90.00 90.00
Last column: nearest neighbours and their distance in Å.
Fractional coordinates of all 28 atoms:
As1 0.7523 0.6288 0.0004  1 Pm 2.92, 3 Ca 2.95-2.97
Ca1 0.3156 0.1844 0.8156  3 As 2.95
Pm1 0.9366 0.0634 0.5634  3 As 2.92
Ca2 0.5644 0.0644 0.4356  6 As 2.96-3.27
Ca3 0.1844 0.8156 0.3156  3 As 2.95
As2 0.1288 0.4996 0.2477  1 Pm 2.92, 3 Ca 2.95-2.97
Pm2 0.0634 0.5634 0.9366  3 As 2.92
Ca4 0.0644 0.4356 0.5644  6 As 2.96-3.27
Ca5 0.8156 0.3156 0.1844  3 As 2.95
As3 0.0004 0.7523 0.6288  1 Pm 2.92, 3 Ca 2.95-2.97
As4 0.8712 0.9996 0.2523  1 Pm 2.92, 3 Ca 2.95-2.97
As5 0.9996 0.2523 0.8712  1 Pm 2.92, 3 Ca 2.95-2.97
Ca6 0.1803 0.1803 0.1803  6 As 2.97-3.29
Ca7 0.8197 0.6803 0.3197  6 As 2.97-3.29
As6 0.3712 0.5004 0.7477  1 Pm 2.92, 3 Ca 2.95-2.97
Ca8 0.6803 0.3197 0.8197  6 As 2.97-3.29
As7 0.7477 0.3712 0.5004  1 Pm 2.92, 3 Ca 2.95-2.97
Pm3 0.4366 0.4366 0.4366  3 As 2.92
Ca9 0.4356 0.5644 0.0644  6 As 2.96-3.27
As8 0.5004 0.7477 0.3712  1 Pm 2.92, 3 Ca 2.95-2.97
Ca10 0.3197 0.8197 0.6803  6 As 2.97-3.29
Pm4 0.5634 0.9366 0.0634  3 As 2.92
Ca11 0.6844 0.6844 0.6844  3 As 2.95
As9 0.6288 0.0004 0.7523  1 Pm 2.92, 3 Ca 2.95-2.97
As10 0.2523 0.8712 0.9996  1 Pm 2.92, 3 Ca 2.95-2.97
Ca12 0.9356 0.9356 0.9356  6 As 2.96-3.27
As11 0.4996 0.2477 0.1288  1 Pm 2.92, 3 Ca 2.95-2.97
As12 0.2477 0.1288 0.4996  1 Pm 2.92, 3 Ca 2.95-2.97

SG: No. 198
VASP energy: -134.4 eV for the cell shown
Calculated formation energy: -1270 meV per atom